The following is a PBE calculation of a relaxed BaIn2Ag2Sn crystal, from the Alexandria database.

**Magnetic moment**: 0.00 μB/cell
**Volume**: 188 Å³/f.u.
**Calculated formation energy**: -0.0365 eV per atom
**Total DFT energy (no corrections)**: -17.3 eV per formula unit
**Symmetry**: P4/mmm (123)

Structure (POSCAR):
```
BaIn2Ag2Sn
1.0
-3.972 -2.656 -2.268
3.368 -2.002 -3.553
1.177 -5.227 4.061
In Sn Ba Ag
2 1 1 2
Direct
0.500 0.500 0.746
0.500 0.500 0.254
0.000 0.000 0.000
0.000 0.000 0.500
0.000 0.500 0.000
0.500 0.000 0.000
```



The following is a PBE calculation of a relaxed MnNb2InI crystal, from the Alexandria database.

**Formation energy from raw total energies**: 1014 meV/atom
**Magnetic moment**: 0.00 μB/cell
**Volume**: 109 Å³/f.u.
**Total DFT energy (no corrections)**: -28.5 eV per formula unit
**Symmetry**: P4/mmm (123)

Structure (POSCAR):
```
MnNb2InI
1.0
4.804 0.000 0.000
0.000 4.736 0.000
0.000 0.000 4.804
Mn In Nb I
1 1 2 1
Direct
0.000 0.000 0.000
0.500 0.500 0.500
0.000 0.000 0.500
0.500 0.000 0.000
0.000 0.500 0.000
```